(1)
VASP calculation (PBE) on a geometry-optimized Y6Ho16Tm7 structure.

Values from the calculation:
- Calculated volume: 944.6 Å³/f.u.
- Total moment: 3.7 μB/cell

Cell: 11.013 11.013 11.013 Å, 60.00 60.00 60.00°
Element x y z (fractional)
Y 0.285 0.715 0.285
Y 0.715 0.285 0.715
Y 0.715 0.285 0.285
Y 0.285 0.715 0.715
Y 0.715 0.715 0.285
Y 0.285 0.285 0.715
Ho 0.879 0.879 0.364
Ho 0.879 0.879 0.879
Ho 0.879 0.364 0.879
Ho 0.364 0.879 0.879
Ho 0.121 0.121 0.121
Ho 0.121 0.121 0.636
Ho 0.121 0.636 0.121
Ho 0.636 0.121 0.121
Ho 0.654 0.654 0.039
Ho 0.654 0.654 0.654
Ho 0.654 0.039 0.654
Ho 0.039 0.654 0.654
Ho 0.346 0.346 0.346
Ho 0.346 0.346 0.961
Ho 0.346 0.961 0.346
Ho 0.961 0.346 0.346
Tm 0.000 0.000 0.000
Tm 0.500 0.000 0.500
Tm 0.000 0.500 0.000
Tm 0.000 0.500 0.500
Tm 0.500 0.000 0.000
Tm 0.000 0.000 0.500
Tm 0.500 0.500 0.000

=====

(2)
VASP calculation (PBE) on a geometry-optimized PrY2TmAs4 structure.

Values from the calculation:
- Calculated volume: 203.3 Å³/f.u.
- Total moment: 0.0 μB/cell

Cell: 4.160 7.201 7.198 Å, 70.52 90.00 90.00°
Element x y z (fractional)
Pr 0.500 0.500 0.000
Y 0.000 0.000 0.000
Y 0.500 0.000 0.500
Tm 0.000 0.500 0.500
As 0.000 0.756 0.741
As 0.000 0.244 0.259
As 0.500 0.751 0.256
As 0.500 0.249 0.744

=====

(3)
VASP calculation (PBE) on a geometry-optimized Pr2HoEr3As6 structure.

Values from the calculation:
- Calculated volume: 306.0 Å³/f.u.
- Total moment: 0.0 μB/cell

Cell: 4.165 8.322 9.305 Å, 102.88 102.93 90.00°
Element x y z (fractional)
Pr 0.834 0.668 0.669
Pr 0.166 0.332 0.331
Ho 0.500 0.000 0.000
Er 0.500 0.500 0.000
Er 0.833 0.166 0.666
Er 0.167 0.834 0.334
As 0.334 0.927 0.667
As 0.664 0.591 0.327
As 0.666 0.073 0.333
As 0.996 0.248 0.993
As 0.004 0.752 0.007
As 0.336 0.409 0.673

=====

| no. | electronic total energy (eV/atom) |
| --- | --- |
| 1 | -4.716 |
| 2 | -6.612 |
| 3 | -6.143 |